(1)
A plane-wave DFT calculation with PBE was carried out for RbNpSiS4 after structural relaxation.

abc: 6.524 6.622 9.108
angles: 90.00 107.62 90.00
Space group P2_1/m (No. 11)
Symmetry-distinct sites (fractional):
Rb: 0.230 0.250 0.435 x2
Np: 0.269 0.250 0.949 x2
Si: 0.284 0.750 0.170 x2
S: 0.089 0.750 0.935 x2
S: 0.091 0.750 0.319 x2
S: 0.500 0.001 0.206 x4

## Properties
Total DFT energy (no corrections) (eV/atom): -6.253
V (Å³/cell): 375.0
Fermi-level density of states (states/eV per cell): 14.7

(2)
A plane-wave DFT calculation with PBE was carried out for Rb3Sm3NpS8 after structural relaxation.

abc: 8.2505 8.2505 23.4580
angles: 90.00 90.00 120.00
Space group R-3m (No. 166, hexagonal axes)
Symmetry-distinct sites (fractional):
Rb: 0.0000 0.5000 0.0000 x9
Sm: 0.0000 0.5000 0.5000 x9
Np: 0.0000 0.0000 0.5000 x3
S: 0.0000 0.0000 0.2313 x6
S: 0.0117 0.5058 0.2289 x18

## Properties
Total DFT energy (no corrections) (eV/atom): -5.933
V (Å³/cell): 1382.9
Fermi-level density of states (states/eV per cell): 13.6

(3)
A plane-wave DFT calculation with PBE was carried out for Rb3SmNp2S6 after structural relaxation.

abc: 7.170 12.418 8.053
angles: 90.00 107.26 90.00
Space group C2/m (No. 12)
Symmetry-distinct sites (fractional):
Rb: 0.000 0.000 0.000 x2
Rb: 0.000 0.335 0.000 x4
Sm: 0.000 0.500 0.500 x2
Np: 0.000 0.167 0.500 x4
S: 0.226 0.000 0.692 x4
S: 0.233 0.331 0.693 x8

## Properties
Total DFT energy (no corrections) (eV/atom): -6.368
V (Å³/cell): 684.7
Fermi-level density of states (states/eV per cell): 43.1

(4)
A plane-wave DFT calculation with PBE was carried out for Rb2SmNpS4 after structural relaxation.

abc: 7.206 4.157 8.056
angles: 90.00 107.42 90.00
Space group P2/m (No. 10)
Symmetry-distinct sites (fractional):
Rb: 0.000 0.000 0.000 x1
Rb: 0.500 0.500 0.000 x1
Sm: 0.000 0.500 0.500 x1
Np: 0.500 0.000 0.500 x1
S: 0.233 0.000 0.695 x2
S: 0.273 0.500 0.308 x2

## Properties
Total DFT energy (no corrections) (eV/atom): -6.102
V (Å³/cell): 230.2
Fermi-level density of states (states/eV per cell): 8.2

(5)
A plane-wave DFT calculation with PBE was carried out for Rb2Sm2NpS6 after structural relaxation.

abc: 7.120 12.270 8.219
angles: 90.00 107.07 90.00
Space group C2/m (No. 12)
Symmetry-distinct sites (fractional):
Rb: 0.000 0.170 0.000 x4
Sm: 0.000 0.334 0.500 x4
Np: 0.000 0.000 0.500 x2
S: 0.224 0.162 0.687 x8
S: 0.244 0.500 0.687 x4

## Properties
Total DFT energy (no corrections) (eV/atom): -6.154
V (Å³/cell): 686.4
Fermi-level density of states (states/eV per cell): 12.5

(6)
A plane-wave DFT calculation with PBE was carried out for Rb3SmNp3S8 after structural relaxation.

abc: 8.1743 8.1743 23.2955
angles: 90.00 90.00 120.00
Space group R-3m (No. 166, hexagonal axes)
Symmetry-distinct sites (fractional):
Rb: 0.0000 0.5000 0.0000 x9
Sm: 0.0000 0.0000 0.5000 x3
Np: 0.0000 0.5000 0.5000 x9
S: 0.0000 0.0000 0.2290 x6
S: 0.0066 0.5033 0.7708 x18

## Properties
Total DFT energy (no corrections) (eV/atom): -6.797
V (Å³/cell): 1348.0
Fermi-level density of states (states/eV per cell): 83.2

(7)
A plane-wave DFT calculation with PBE was carried out for Rb3Sm2NpS6 after structural relaxation.

abc: 7.219 12.498 8.063
angles: 90.00 107.33 90.00
Space group C2/m (No. 12)
Symmetry-distinct sites (fractional):
Rb: 0.000 0.000 0.000 x2
Rb: 0.000 0.332 0.000 x4
Sm: 0.000 0.166 0.500 x4
Np: 0.000 0.500 0.500 x2
S: 0.230 0.335 0.694 x8
S: 0.234 0.000 0.695 x4

## Properties
Total DFT energy (no corrections) (eV/atom): -5.836
V (Å³/cell): 694.5
Fermi-level density of states (states/eV per cell): 16.0

(8)
A plane-wave DFT calculation with PBE was carried out for Rb3Np2SnS6 after structural relaxation.

abc: 7.236 12.521 7.975
angles: 90.00 107.56 90.00
Space group C2/m (No. 12)
Symmetry-distinct sites (fractional):
Rb: 0.000 0.000 0.000 x2
Rb: 0.000 0.340 0.000 x4
Np: 0.000 0.167 0.500 x4
Sn: 0.000 0.500 0.500 x2
S: 0.210 0.000 0.690 x4
S: 0.241 0.323 0.692 x8

## Properties
Total DFT energy (no corrections) (eV/atom): -6.007
V (Å³/cell): 688.9
Fermi-level density of states (states/eV per cell): 38.1